Tl2CdRu after structural relaxation, computed with GGA-PBEsol.

The value obtained for the energy above the most stable polymorph in this dataset is 0.0 meV per atom. For the density of states at the Fermi level, the calculation gives 10.52 states/eV/cell. For the formation energy, the calculation gives 434 meV/atom.

Unit cell a=3.1743 b=3.1743 c=29.0100 alpha=90.00 beta=90.00 gamma=120.00
Last column: nearest neighbours and their distance in Å.
Space group R3m (No. 160, hexagonal axes)
Unique sites:
Tl: 0.0000 0.0000 0.0000 [3 per cell]  9 Tl 3.17-3.38, 3 Cd 3.24
Tl: 0.0000 0.0000 0.2354 [3 per cell]  3 Ru 2.78
Cd: 0.0000 0.0000 0.7589 [3 per cell]  3 Ru 2.76
Ru: 0.0000 0.0000 0.4968 [3 per cell]  3 Cd 2.76, 3 Tl 2.78